(1)
30
Lattice="8.422 -0.475 5.250 2.359 8.099 5.250 0.000 0.000 10.501" Properties=species:S:1:pos:R:3 comment="Cd23Hg6Pb, optimized geometry, DFT GGA-PBE" n_ef_per_ev_fu=14.393 volume_a3_per_cell=728.0 total_magnetization_mub_per_atom=0.000 final_energy_ev_per_fu=-25.15 pbc="T T T"
Pb 5.391 3.812 10.501
Hg 4.020 5.750 8.127
Cd 5.610 0.776 5.250
Cd 0.000 0.000 0.000
Hg 8.023 5.673 10.501
Cd 5.541 0.199 10.501
Cd 1.180 4.049 2.625
Cd 2.035 5.158 10.501
Cd 6.993 4.945 7.464
Hg 6.761 1.873 12.875
Cd 3.788 2.679 7.464
Cd 5.240 7.424 10.501
Cd 8.179 2.593 15.751
Cd 8.746 2.466 10.501
Cd 9.497 6.715 18.356
Cd 4.211 -0.238 7.875
Cd 2.602 5.031 5.250
Cd 6.993 4.945 13.537
Cd 0.000 0.000 5.250
Hg 6.761 1.873 8.127
Cd 3.788 2.679 13.537
Cd 1.284 0.908 2.645
Cd 9.497 6.715 13.146
Cd 1.180 4.049 7.875
Cd 1.284 0.908 7.855
Hg 2.758 1.950 10.501
Cd 5.391 3.812 5.250
Hg 4.020 5.750 12.875
Cd 4.211 -0.238 2.625
Cd 5.171 6.847 15.751

(2)
5
Lattice="4.643 0.000 0.000 0.000 5.003 0.000 0.000 0.000 4.643" Properties=species:S:1:pos:R:3 comment="AlFe2SnMo, optimized geometry, DFT GGA-PBE" n_ef_per_ev_fu=6.196 volume_a3_per_cell=107.8 total_magnetization_mub_per_atom=0.976 final_energy_ev_per_fu=-27.69 pbc="T T T"
Al 2.321 2.501 2.321
Sn 0.000 0.000 0.000
Fe 2.321 0.000 0.000
Fe 0.000 0.000 2.321
Mo 0.000 2.501 0.000